1.
Entry from Alexandria: a relaxed structure of CaPPt3 (GGA-PBEsol).

Computed properties:
For the formation energy, the calculation gives -0.8614 eV/atom. The value obtained for the total energy is -66.24 eV per cell.

Lattice parameters (Å, degrees): 3.9768 3.9768 10.7799 90.00 90.00 90.00
With the nearest neighbours (Å) after each atom.
Space group I4mm (No. 107)
Unique sites:
Ca: 0.0000 0.0000 0.0000 x2  8 Pt 2.94-3.28, 4 P 3.12
P: 0.0000 0.0000 0.6248 x2  5 Pt 2.20-2.36
Pt: 0.0000 0.0000 0.4203 x2  1 P 2.20
Pt: 0.0000 0.5000 0.2419 x4  2 P 2.36

***

2.
Entry from Alexandria: a relaxed structure of RbCa2PdI (GGA-PBEsol).

Computed properties:
The raw formation energy comes out at 705.7 meV/atom. The value obtained for the total energy is -9.49 eV per cell.

Lattice parameters (Å, degrees): 6.4269 6.4269 5.0394 90.00 90.00 90.00
With the nearest neighbours (Å) after each atom.
Space group P4/mmm (No. 123)
Unique sites:
Rb: 0.0000 0.0000 0.0000 x1  2 Pd 2.52
Ca: 0.0000 0.5000 0.0000 x2  2 Rb 3.21
Pd: 0.0000 0.0000 0.5000 x1  2 Rb 2.52
I: 0.5000 0.5000 0.5000 x1  8 Ca 4.08, 4 Pd 4.54

***

3.
Entry from Alexandria: a relaxed structure of BeIr2Os (GGA-PBEsol).

Computed properties:
For the formation energy, the calculation gives -0.0702 eV/atom. The value obtained for the total energy is -108.43 eV per cell.

Lattice parameters (Å, degrees): 2.6948 2.6948 24.5204 90.00 90.00 120.00
With the nearest neighbours (Å) after each atom.
Space group R-3m (No. 166, hexagonal axes)
Unique sites:
Be: 0.0000 0.0000 0.0000 x3  6 Ir 2.44, 6 Be 2.69
Ir: 0.0000 0.0000 0.2565 x6  3 Be 2.44, 6 Ir 2.69, 3 Os 2.70
Os: 0.0000 0.0000 0.5000 x3  6 Os 2.69, 6 Ir 2.70

***

4.
Entry from Alexandria: a relaxed structure of MgAlCd2 (GGA-PBEsol).

Computed properties:
For the formation energy, the calculation gives 0.0037 eV/atom. The value obtained for the total energy is -16.38 eV per cell.

Lattice parameters (Å, degrees): 4.3630 4.3630 8.3523 90.00 90.00 90.00
With the nearest neighbours (Å) after each atom.
Space group I4/mmm (No. 139)
Unique sites:
Mg: 0.0000 0.0000 0.0000 x2  8 Cd 3.02, 4 Al 3.09
Al: 0.0000 0.0000 0.5000 x2  8 Cd 3.02, 4 Mg 3.09
Cd: 0.0000 0.5000 0.2500 x4  4 Mg 3.02, 4 Al 3.02, 4 Cd 3.09

***

5.
Entry from Alexandria: a relaxed structure of ZrReRu2 (GGA-PBEsol).

Computed properties:
For the formation energy, the calculation gives 0.0683 eV/atom. The value obtained for the total energy is -84.99 eV per cell.

Lattice parameters (Å, degrees): 3.0810 4.5686 8.8282 90.00 90.00 90.00
With the nearest neighbours (Å) after each atom.
Space group Immm (No. 71)
Unique sites:
Zr: 0.0000 0.0000 0.0000 x2  4 Re 2.76, 8 Ru 2.82-3.07, 2 Zr 3.08
Re: 0.0000 0.0000 0.5000 x2  4 Ru 2.56, 4 Zr 2.76
Ru: 0.0000 0.5000 0.2323 x4  2 Re 2.56, 4 Ru 2.77, 2 Zr 2.82

***

6.
Entry from Alexandria: a relaxed structure of K2HgRhF6 (GGA-PBEsol).

Computed properties:
The raw formation energy comes out at -1907.4 meV/atom. The value obtained for the total energy is -166.44 eV per cell.

Lattice parameters (Å, degrees): 8.7239 8.7239 8.7239 90.00 90.00 90.00
With the nearest neighbours (Å) after each atom.
Space group Fm-3m (No. 225)
Unique sites:
K: 0.2500 0.2500 0.2500 x8  12 F 3.09
Hg: 0.0000 0.0000 0.0000 x4  6 F 2.35
Rh: 0.0000 0.0000 0.5000 x4  6 F 2.01
F: 0.0000 0.0000 0.2692 x24  1 Rh 2.01